[1]
## Y2ScPt (GGA-PBE)

Data for an optimized crystal structure of Y2ScPt.

abc: 4.245 4.245 10.566
angles: 90.00 90.00 90.00
Space group I-4m2 (No. 119)
One atom of each set of equivalent atoms:
Y 0.000 0.000 0.000
Y 0.000 0.500 0.250
Sc 0.000 0.000 0.500
Pt 0.000 0.500 0.750

ΔE to the lowest computed polymorph   252.8 meV per atom
Theoretical density   7.29 g/cm3
ΔE_f   -0.385 eV per atom

[2]
## Ti3Nb3Pd (GGA-PBE)

Data for an optimized crystal structure of Ti3Nb3Pd.

abc: 7.2566 7.2566 16.6387
angles: 90.00 90.00 120.00
Space group R-3 (No. 148, hexagonal axes)
One atom of each set of equivalent atoms:
Ti 0.0222 0.2437 0.2084
Nb 0.0653 0.8058 0.6284
Pd 0.0000 0.0000 0.0825

Theoretical density   6.94 g/cm3
ΔE_f   0.122 eV per atom

[3]
## LaZn2Te (GGA-PBE)

Data for an optimized crystal structure of LaZn2Te.

abc: 7.447 7.447 7.447
angles: 90.00 90.00 90.00
Space group F-43m (No. 216)
One atom of each set of equivalent atoms:
La 0.000 0.000 0.000
Zn 0.000 0.000 0.500
Zn 0.250 0.250 0.750
Te 0.250 0.250 0.250

Theoretical density   6.39 g/cm3
Formation energy from raw total energies   -394 meV per atom

[4]
## Pm4Bi2SeN2 (GGA-PBE)

Data for an optimized crystal structure of Pm4Bi2SeN2.

abc: 15.788 4.196 8.424
angles: 90.00 114.81 90.00
Space group C2/m (No. 12)
One atom of each set of equivalent atoms:
Pm 0.031 0.000 0.282
Pm 0.219 0.500 0.634
Bi 0.107 0.500 0.043
Se 0.000 0.500 0.500
N 0.177 0.000 0.488

Theoretical density   7.24 g/cm3
Formation energy from raw total energies   -1239 meV per atom

[5]
## Pm6Ge3Pb (GGA-PBE)

Data for an optimized crystal structure of Pm6Ge3Pb.

abc: 11.589 11.189 8.611
angles: 90.00 90.00 90.00
Space group Cmcm (No. 63)
One atom of each set of equivalent atoms:
Pm 0.000 0.160 0.008
Pm 0.176 0.500 0.000
Pm 0.244 0.254 0.250
Ge 0.000 0.368 0.250
Ge 0.134 0.002 0.750
Pb 0.000 0.371 0.750

Theoretical density   7.70 g/cm3
ΔE_f   -0.672 eV per atom

[6]
## Ca2Ac5LaPm (GGA-PBE)

Data for an optimized crystal structure of Ca2Ac5LaPm.

abc: 9.248 9.248 17.904
angles: 90.00 90.00 90.00
Space group I4/mcm (No. 140)
One atom of each set of equivalent atoms:
Ca 0.117 0.383 0.000
Ac 0.000 0.000 0.000
Ac 0.210 0.290 0.353
La 0.000 0.500 0.250
Pm 0.000 0.000 0.250

Theoretical density   6.50 g/cm3
ΔE_f   0.290 eV per atom

[7]
## BP2AuO (GGA-PBE)

Data for an optimized crystal structure of BP2AuO.

abc: 5.021 5.021 2.711
angles: 90.00 90.00 90.00
Space group P4/mmm (No. 123)
One atom of each set of equivalent atoms:
B 0.000 0.000 0.000
P 0.000 0.500 0.000
Au 0.500 0.500 0.500
O 0.000 0.000 0.500

ΔE to the lowest computed polymorph   0.0 meV per atom
Theoretical density   6.94 g/cm3
Formation energy from raw total energies   144 meV per atom

[8]
## Sn3GeCl (GGA-PBE)

Data for an optimized crystal structure of Sn3GeCl.

abc: 5.383 5.383 5.383
angles: 90.00 90.00 90.00
Space group Pm-3m (No. 221)
One atom of each set of equivalent atoms:
Sn 0.000 0.000 0.500
Ge 0.500 0.500 0.500
Cl 0.000 0.000 0.000

ΔE to the lowest computed polymorph   184.6 meV per atom
Theoretical density   4.94 g/cm3
Formation energy from raw total energies   526 meV per atom

[9]
## Cs2Pb2SeS2 (GGA-PBE)

Data for an optimized crystal structure of Cs2Pb2SeS2.

abc: 14.449 4.200 10.274
angles: 90.00 122.81 90.00
Space group C2/m (No. 12)
One atom of each set of equivalent atoms:
Cs 0.062 0.000 0.333
Pb 0.227 0.500 0.127
Se 0.000 0.500 0.000
S 0.195 0.500 0.671

Theoretical density   5.22 g/cm3
Formation energy from raw total energies   -775 meV per atom

[10]
## BaNaPb6 (GGA-PBE)

Data for an optimized crystal structure of BaNaPb6.

abc: 7.5154 7.5154 5.3995
angles: 90.00 90.00 120.00
Space group P-6m2 (No. 187)
One atom of each set of equivalent atoms:
Ba 0.0000 0.0000 0.0000
Na 0.3333 0.6667 0.5000
Pb 0.0273 0.5136 0.0000
Pb 0.3808 0.1904 0.5000

Theoretical density   8.82 g/cm3
ΔE_f   -0.208 eV per atom

[11]
## Ca2CdB2Pt5 (GGA-PBE)

Data for an optimized crystal structure of Ca2CdB2Pt5.

abc: 10.063 10.063 3.168
angles: 90.00 90.00 90.00
Space group P4/mbm (No. 127)
One atom of each set of equivalent atoms:
Ca 0.179 0.321 0.000
Cd 0.000 0.000 0.000
B 0.120 0.620 0.000
Pt 0.000 0.500 0.500
Pt 0.068 0.769 0.500

Theoretical density   12.31 g/cm3
ΔE_f   -0.593 eV per atom

[12]
## LiTlGa (GGA-PBE)

Data for an optimized crystal structure of LiTlGa.

abc: 3.487 3.487 10.512
angles: 90.00 90.00 90.00
Space group I4mm (No. 107)
One atom of each set of equivalent atoms:
Li 0.000 0.000 0.000
Tl 0.000 0.000 0.322
Ga 0.000 0.000 0.641

ΔE to the lowest computed polymorph   0.0 meV per atom
Theoretical density   7.30 g/cm3
ΔE_f   -0.100 eV per atom

[13]
## La8Si3Br4F (GGA-PBE)

Data for an optimized crystal structure of La8Si3Br4F.

abc: 8.5113 8.5113 22.2553
angles: 90.00 90.00 120.00
Space group R-3m (No. 166, hexagonal axes)
One atom of each set of equivalent atoms:
La 0.0000 0.0000 0.2394
La 0.0032 0.5016 0.2367
Si 0.0000 0.5000 0.5000
Br 0.0000 0.0000 0.0000
Br 0.0000 0.5000 0.0000
F 0.0000 0.0000 0.5000

Theoretical density   5.47 g/cm3
Formation energy from raw total energies   -1310 meV per atom

[14]
## CuSi2 (GGA-PBE)

Data for an optimized crystal structure of CuSi2.

abc: 4.7533 4.7533 9.6826
angles: 90.00 90.00 120.00
Space group P6_3/mmc (No. 194)
One atom of each set of equivalent atoms:
Cu 0.3333 0.6667 0.0343
Si 0.0000 0.0000 0.0000
Si 0.1649 0.3298 0.2500

Theoretical density   4.20 g/cm3
Formation energy from raw total energies   471 meV per atom

[15]
## Cs3MoC (GGA-PBE)

Data for an optimized crystal structure of Cs3MoC.

abc: 6.016 6.016 6.016
angles: 90.00 90.00 90.00
Space group Pm-3m (No. 221)
One atom of each set of equivalent atoms:
Cs 0.000 0.000 0.500
Mo 0.000 0.000 0.000
C 0.500 0.500 0.500

Theoretical density   3.86 g/cm3
ΔE_f   2.308 eV per atom

[16]
## YSb2P2 (GGA-PBE)

Data for an optimized crystal structure of YSb2P2.

abc: 7.784 7.784 3.948
angles: 90.00 90.00 90.00
Space group P4/mbm (No. 127)
One atom of each set of equivalent atoms:
Y 0.000 0.000 0.000
Sb 0.172 0.328 0.500
P 0.172 0.672 0.000

ΔE to the lowest computed polymorph   0.0 meV per atom
Theoretical density   5.48 g/cm3
Formation energy from raw total energies   -348 meV per atom

[17]
## Ca2LaMo (GGA-PBE)

Data for an optimized crystal structure of Ca2LaMo.

abc: 6.341 11.750 3.365
angles: 90.00 113.87 90.00
Space group C2/m (No. 12)
One atom of each set of equivalent atoms:
Ca 0.250 0.250 0.000
La 0.000 0.000 0.500
Mo 0.000 0.500 0.500

ΔE to the lowest computed polymorph   275.7 meV per atom
Theoretical density   4.56 g/cm3
ΔE_f   0.729 eV per atom

[18]
## DyErInOs (GGA-PBE)

Data for an optimized crystal structure of DyErInOs.

abc: 7.097 7.097 7.097
angles: 90.00 90.00 90.00
Space group F-43m (No. 216)
One atom of each set of equivalent atoms:
Dy 0.000 0.000 0.000
Er 0.000 0.000 0.500
In 0.250 0.250 0.750
Os 0.250 0.250 0.250

ΔE to the lowest computed polymorph   125.0 meV per atom
Theoretical density   11.80 g/cm3
ΔE_f   -0.257 eV per atom

[19]
## LaYAlGa (GGA-PBE)

Data for an optimized crystal structure of LaYAlGa.

abc: 4.213 4.483 11.383
angles: 90.00 90.00 90.00
Space group Amm2 (No. 38)
One atom of each set of equivalent atoms:
La 0.000 0.000 0.000
Y 0.500 0.000 0.721
Al 0.000 0.000 0.286
Ga 0.500 0.000 0.425

ΔE to the lowest computed polymorph   0.0 meV per atom
Theoretical density   5.01 g/cm3
ΔE_f   -0.503 eV per atom

[20]
## Pr5Nd5Y (GGA-PBE)

Data for an optimized crystal structure of Pr5Nd5Y.

abc: 6.2919 6.2919 11.7421
angles: 90.00 90.00 120.00
Space group P-6m2 (No. 187)
One atom of each set of equivalent atoms:
Pr 0.0000 0.0000 0.0000
Pr 0.3333 0.6667 0.3181
Pr 0.6667 0.3333 0.1580
Nd 0.0000 0.0000 0.2646
Nd 0.3388 0.1694 0.5000
Y 0.3333 0.6667 0.0000

ΔE to the lowest computed polymorph   45.3 meV per atom
Theoretical density   6.25 g/cm3
ΔE_f   0.274 eV per atom

[21]
## RuPt8Rh5 (GGA-PBE)

Data for an optimized crystal structure of RuPt8Rh5.

abc: 7.705 7.705 7.570
angles: 90.00 90.00 90.00
Space group I-4 (No. 82)
One atom of each set of equivalent atoms:
Ru 0.000 0.000 0.000
Pt 0.064 0.838 0.672
Pt 0.115 0.690 0.996
Rh 0.000 0.500 0.750
Rh 0.105 0.692 0.340

Theoretical density   16.08 g/cm3
ΔE_f   0.279 eV per atom

[22]
## Li3PmHo2Te6 (GGA-PBE)

Data for an optimized crystal structure of Li3PmHo2Te6.

abc: 7.560 13.094 7.502
angles: 90.00 109.65 90.00
Space group C2/m (No. 12)
One atom of each set of equivalent atoms:
Li 0.000 0.000 0.000
Li 0.000 0.335 0.000
Pm 0.000 0.500 0.500
Ho 0.000 0.167 0.500
Te 0.244 0.170 0.244
Te 0.245 0.000 0.757

Theoretical density   5.99 g/cm3
Formation energy from raw total energies   -1290 meV per atom